1.
! TeMo2Pb2 | Alexandria | PBE | optimized geometry; values from VASP
! **Crystal system**: tetragonal
! **Volume**: 26.02 Å³/atom
! **Raw formation energy**: 5.7 eV per formula unit
! **Calculated total energy**: -5.31 eV/atom
&SYSTEM
  ibrav = 0, nat = 5, ntyp = 3
/
ATOMIC_SPECIES
Pb 207.20 Pb.upf
Mo 95.94 Mo.upf
Te 127.60 Te.upf
CELL_PARAMETERS angstrom
-0.599 -5.731 1.991
-5.975 -1.211 -0.002
3.535 2.252 -4.427
ATOMIC_POSITIONS crystal
Pb 0.352 0.352 0.000
Pb 0.648 0.648 0.000
Mo 0.250 0.750 0.500
Mo 0.750 0.250 0.500
Te 0.000 0.000 0.000

2.
! Na2LiCu2 | Alexandria | PBE | optimized geometry; values from VASP
! **Formation energy**: 0.34 eV/atom
! **Crystal system**: tetragonal
! **Volume**: 20.25 Å³/atom
! **Energy above the lowest structure with this stoichiometry**: 121 meV/atom
! **Calculated total energy**: -2.21 eV/atom
&SYSTEM
  ibrav = 0, nat = 10, ntyp = 3
/
ATOMIC_SPECIES
Li 6.94 Li.upf
Na 22.99 Na.upf
Cu 63.55 Cu.upf
CELL_PARAMETERS angstrom
8.556 0.000 0.000
0.000 8.556 0.000
0.000 0.000 2.765
ATOMIC_POSITIONS crystal
Li 0.000 0.000 0.000
Li 0.500 0.500 0.000
Na 0.869 0.631 0.000
Na 0.369 0.869 0.000
Na 0.131 0.369 0.000
Na 0.631 0.131 0.000
Cu 0.832 0.332 0.500
Cu 0.332 0.168 0.500
Cu 0.168 0.668 0.500
Cu 0.668 0.832 0.500

3.
! InRuCl2 | Alexandria | PBE | optimized geometry; values from VASP
! **Crystal system**: tetragonal
! **Volume**: 22.48 Å³/atom
! **Raw formation energy**: 0.7 eV per formula unit
! **Energy above the lowest structure with this stoichiometry**: 420 meV/atom
! **Calculated total energy**: -3.75 eV/atom
&SYSTEM
  ibrav = 0, nat = 4, ntyp = 3
/
ATOMIC_SPECIES
Cl 35.45 Cl.upf
Ru 101.07 Ru.upf
In 114.82 In.upf
CELL_PARAMETERS angstrom
-3.142 -0.421 0.501
-0.312 -1.200 -2.960
1.565 -8.014 3.085
ATOMIC_POSITIONS crystal
Cl 0.000 0.000 0.935
Cl 0.000 0.000 0.565
Ru 0.500 0.500 0.750
In 0.500 0.500 0.250

4.
! CaSc2Br | Alexandria | PBE | optimized geometry; values from VASP
! **Crystal system**: monoclinic
! **Volume**: 28.18 Å³/atom
! **Raw formation energy**: -1.0 eV per formula unit
! **Energy above the lowest structure with this stoichiometry**: 217 meV/atom
! **Calculated total energy**: -4.32 eV/atom
&SYSTEM
  ibrav = 0, nat = 4, ntyp = 3
/
ATOMIC_SPECIES
Ca 40.08 Ca.upf
Sc 44.96 Sc.upf
Br 79.90 Br.upf
CELL_PARAMETERS angstrom
-5.793 -0.552 1.423
-5.267 -2.531 -1.319
-0.768 -4.986 3.452
ATOMIC_POSITIONS crystal
Ca 0.782 0.782 0.713
Sc 0.970 0.970 0.094
Sc 0.225 0.225 0.230
Br 0.524 0.524 0.463

5.
! Mg2AlOs | Alexandria | PBE | optimized geometry; values from VASP
! **Formation energy**: -0.05 eV/atom
! **Crystal system**: orthorhombic
! **Volume**: 16.06 Å³/atom
! **Calculated total energy**: -4.59 eV/atom
&SYSTEM
  ibrav = 0, nat = 4, ntyp = 3
/
ATOMIC_SPECIES
Al 26.98 Al.upf
Mg 24.30 Mg.upf
Os 190.23 Os.upf
CELL_PARAMETERS angstrom
5.305 0.006 0.006
2.564 4.644 -0.006
-3.598 -2.894 2.611
ATOMIC_POSITIONS crystal
Al 0.250 0.750 0.500
Mg 0.511 0.511 0.000
Mg 0.989 0.989 0.000
Os 0.750 0.250 0.500

6.
! Ca11Zn4Cd9 | Alexandria | PBE | optimized geometry; values from VASP
! **Formation energy**: -0.29 eV/atom
! **Crystal system**: orthorhombic
! **Volume**: 26.92 Å³/atom
! **Calculated total energy**: -1.77 eV/atom
&SYSTEM
  ibrav = 0, nat = 24, ntyp = 3
/
ATOMIC_SPECIES
Ca 40.08 Ca.upf
Cd 112.41 Cd.upf
Zn 65.41 Zn.upf
CELL_PARAMETERS angstrom
3.965 0.000 0.000
0.000 12.240 -5.271
0.000 -0.037 13.326
ATOMIC_POSITIONS crystal
Ca 0.000 0.586 0.927
Ca 0.000 0.835 0.165
Ca 0.000 0.359 0.641
Ca 0.000 0.713 0.713
Ca 0.000 0.414 0.073
Ca 0.000 0.927 0.586
Ca 0.000 0.073 0.414
Ca 0.000 0.000 0.000
Ca 0.000 0.287 0.287
Ca 0.000 0.165 0.835
Ca 0.000 0.641 0.359
Cd 0.500 0.500 0.500
Cd 0.500 0.063 0.214
Cd 0.500 0.371 0.850
Cd 0.500 0.150 0.629
Cd 0.500 0.629 0.150
Cd 0.500 0.214 0.063
Cd 0.500 0.937 0.786
Cd 0.500 0.786 0.937
Cd 0.500 0.850 0.371
Zn 0.500 0.452 0.262
Zn 0.500 0.262 0.452
Zn 0.500 0.548 0.738
Zn 0.500 0.738 0.548

7.
! Na2YGaSe4 | Alexandria | PBE | optimized geometry; values from VASP
! **Crystal system**: orthorhombic
! **Volume**: 24.20 Å³/atom
! **Raw formation energy**: -9.3 eV per formula unit
! **Calculated total energy**: -4.42 eV/atom
&SYSTEM
  ibrav = 0, nat = 16, ntyp = 4
/
ATOMIC_SPECIES
Se 78.96 Se.upf
Y 88.91 Y.upf
Na 22.99 Na.upf
Ga 69.72 Ga.upf
CELL_PARAMETERS angstrom
8.203 -0.061 -0.197
-0.066 8.203 -0.197
-4.142 -4.145 5.956
ATOMIC_POSITIONS crystal
Se 0.237 0.752 0.995
Se 0.252 0.737 0.495
Se 0.247 0.252 0.036
Se 0.748 0.263 0.505
Se 0.752 0.747 0.536
Se 0.753 0.748 0.964
Se 0.763 0.248 0.005
Se 0.248 0.253 0.464
Y 0.000 0.500 0.500
Y 0.000 0.500 0.000
Na 0.000 0.000 0.500
Na 0.500 0.500 0.000
Na 0.500 0.000 0.000
Na 0.500 0.000 0.500
Ga 0.500 0.500 0.500
Ga 0.000 0.000 0.000

8.
! MgMnMo2 | Alexandria | PBE | optimized geometry; values from VASP
! **Formation energy**: 0.22 eV/atom
! **Crystal system**: orthorhombic
! **Volume**: 15.81 Å³/atom
! **Calculated total energy**: -7.89 eV/atom
&SYSTEM
  ibrav = 0, nat = 4, ntyp = 3
/
ATOMIC_SPECIES
Mg 24.30 Mg.upf
Mn 54.94 Mn.upf
Mo 95.94 Mo.upf
CELL_PARAMETERS angstrom
2.735 0.012 0.000
-0.897 2.584 0.000
0.000 0.000 8.936
ATOMIC_POSITIONS crystal
Mg 0.000 0.000 0.509
Mn 0.500 0.500 0.766
Mo 0.000 0.000 0.989
Mo 0.500 0.500 0.236

9.
! LaRh3Pb2O8 | Alexandria | PBE | optimized geometry; values from VASP
! **Crystal system**: trigonal
! **Volume**: 15.01 Å³/atom
! **Raw formation energy**: -16.6 eV per formula unit
! **Calculated total energy**: -6.48 eV/atom
&SYSTEM
  ibrav = 0, nat = 14, ntyp = 4
/
ATOMIC_SPECIES
Rh 102.91 Rh.upf
O 16.00 O.upf
Pb 207.20 Pb.upf
La 138.91 La.upf
CELL_PARAMETERS angstrom
6.522 0.000 0.000
3.261 5.649 0.000
3.261 1.883 5.703
ATOMIC_POSITIONS crystal
Rh 0.499 0.499 0.001
Rh 0.000 0.499 0.001
Rh 0.499 0.000 0.001
O 0.697 0.241 0.820
O 0.241 0.241 0.820
O 0.761 0.293 0.184
O 0.241 0.697 0.820
O 0.761 0.761 0.184
O 0.727 0.727 0.818
O 0.293 0.761 0.184
O 0.277 0.277 0.169
Pb 0.498 0.498 0.506
Pb 0.116 0.116 0.652
La 0.880 0.880 0.360

10.
! LiH2Pb | Alexandria | PBE | optimized geometry; values from VASP
! **Crystal system**: cubic
! **Volume**: 13.16 Å³/atom
! **Energy above the lowest structure with this stoichiometry**: 452 meV/atom
! **Calculated total energy**: -2.73 eV/atom
&SYSTEM
  ibrav = 0, nat = 4, ntyp = 3
/
ATOMIC_SPECIES
Pb 207.20 Pb.upf
H 1.01 H.upf
Li 6.94 Li.upf
CELL_PARAMETERS angstrom
0.000 2.974 2.974
2.974 0.000 2.974
2.974 2.974 0.000
ATOMIC_POSITIONS crystal
Pb 0.500 0.500 0.500
H 0.750 0.750 0.750
H 0.250 0.250 0.250
Li 0.000 0.000 0.000

11.
! ZnNiPd3 | Alexandria | PBE | optimized geometry; values from VASP
! **Formation energy**: 0.67 eV/atom
! **Crystal system**: cubic
! **Volume**: 19.00 Å³/atom
! **Energy above the lowest structure with this stoichiometry**: 896 meV/atom
! **Calculated total energy**: -3.86 eV/atom
&SYSTEM
  ibrav = 0, nat = 5, ntyp = 3
/
ATOMIC_SPECIES
Pd 106.42 Pd.upf
Zn 65.41 Zn.upf
Ni 58.69 Ni.upf
CELL_PARAMETERS angstrom
4.563 0.000 0.000
0.000 4.563 0.000
0.000 0.000 4.563
ATOMIC_POSITIONS crystal
Pd 0.500 0.000 0.000
Pd 0.000 0.500 0.000
Pd 0.000 0.000 0.500
Zn 0.500 0.500 0.500
Ni 0.000 0.000 0.000

12.
! Dy4GeSe2S | Alexandria | PBE | optimized geometry; values from VASP
! **Crystal system**: monoclinic
! **Volume**: 23.76 Å³/atom
! **Raw formation energy**: -13.3 eV per formula unit
! **Calculated total energy**: -5.93 eV/atom
&SYSTEM
  ibrav = 0, nat = 8, ntyp = 4
/
ATOMIC_SPECIES
Se 78.96 Se.upf
Dy 162.50 Dy.upf
S 32.06 S.upf
Ge 72.64 Ge.upf
CELL_PARAMETERS angstrom
4.058 0.000 0.000
0.000 7.103 -0.164
0.000 2.476 6.537
ATOMIC_POSITIONS crystal
Se 0.000 0.000 0.000
Se 0.500 0.000 0.500
Dy 0.000 0.736 0.755
Dy 0.000 0.264 0.245
Dy 0.500 0.268 0.744
Dy 0.500 0.732 0.256
S 0.000 0.500 0.500
Ge 0.500 0.500 0.000

13.
! ScCo2C2 | Alexandria | PBE | optimized geometry; values from VASP
! **Formation energy**: -0.14 eV/atom
! **Crystal system**: tetragonal
! **Volume**: 9.30 Å³/atom
! **Calculated total energy**: -7.94 eV/atom
&SYSTEM
  ibrav = 0, nat = 5, ntyp = 3
/
ATOMIC_SPECIES
Co 58.93 Co.upf
Sc 44.96 Sc.upf
C 12.01 C.upf
CELL_PARAMETERS angstrom
-2.076 0.184 2.676
2.476 -1.176 1.998
1.035 4.280 -1.640
ATOMIC_POSITIONS crystal
Co 0.250 0.750 0.500
Co 0.750 0.250 0.500
Sc 0.000 0.000 0.000
C 0.597 0.597 0.194
C 0.403 0.403 0.806

14.
! Nd2TmLu | Alexandria | PBE | optimized geometry; values from VASP
! **Formation energy**: 0.02 eV/atom
! **Crystal system**: trigonal
! **Volume**: 32.11 Å³/atom
! **Energy above the lowest structure with this stoichiometry**: 0 meV/atom
! **Calculated total energy**: -4.61 eV/atom
&SYSTEM
  ibrav = 0, nat = 4, ntyp = 3
/
ATOMIC_SPECIES
Nd 144.24 Nd.upf
Tm 168.93 Tm.upf
Lu 174.97 Lu.upf
CELL_PARAMETERS angstrom
-3.569 0.340 0.027
-1.993 -1.833 -2.350
-2.630 -9.248 6.709
ATOMIC_POSITIONS crystal
Nd 0.750 0.750 0.749
Nd 0.250 0.250 0.251
Tm 0.000 0.000 0.000
Lu 0.500 0.500 0.500

15.
! BaSi2SbCl | Alexandria | PBE | optimized geometry; values from VASP
! **Crystal system**: tetragonal
! **Volume**: 40.18 Å³/atom
! **Raw formation energy**: 4.5 eV per formula unit
! **Calculated total energy**: -2.84 eV/atom
&SYSTEM
  ibrav = 0, nat = 5, ntyp = 4
/
ATOMIC_SPECIES
Si 28.09 Si.upf
Cl 35.45 Cl.upf
Sb 121.76 Sb.upf
Ba 137.33 Ba.upf
CELL_PARAMETERS angstrom
-1.632 2.725 -5.126
-5.128 -3.173 -0.054
-2.493 3.980 2.909
ATOMIC_POSITIONS crystal
Si 0.500 0.000 0.000
Si 0.000 0.500 0.000
Cl 0.000 0.000 0.500
Sb 0.500 0.500 0.500
Ba 0.000 0.000 0.000

16.
! ZrCoPCl2 | Alexandria | PBE | optimized geometry; values from VASP
! **Crystal system**: tetragonal
! **Volume**: 25.45 Å³/atom
! **Raw formation energy**: 0.1 eV per formula unit
! **Energy above the lowest structure with this stoichiometry**: 19 meV/atom
! **Calculated total energy**: -4.93 eV/atom
&SYSTEM
  ibrav = 0, nat = 5, ntyp = 4
/
ATOMIC_SPECIES
Co 58.93 Co.upf
P 30.97 P.upf
Cl 35.45 Cl.upf
Zr 91.22 Zr.upf
CELL_PARAMETERS angstrom
-4.084 -2.632 -0.834
-0.441 -0.849 4.836
-2.895 4.335 0.497
ATOMIC_POSITIONS crystal
Co 0.500 0.500 0.500
P 0.000 0.000 0.500
Cl 0.000 0.500 0.000
Cl 0.500 0.000 0.000
Zr 0.000 0.000 0.000

17.
! K3Y2ThSe6 | Alexandria | PBE | optimized geometry; values from VASP
! **Crystal system**: monoclinic
! **Volume**: 29.91 Å³/atom
! **Raw formation energy**: -20.3 eV per formula unit
! **Calculated total energy**: -5.40 eV/atom
&SYSTEM
  ibrav = 0, nat = 12, ntyp = 4
/
ATOMIC_SPECIES
Se 78.96 Se.upf
K 39.10 K.upf
Y 88.91 Y.upf
Th 232.04 Th.upf
CELL_PARAMETERS angstrom
4.222 0.000 0.000
0.000 9.158 -0.146
-2.111 -3.125 9.335
ATOMIC_POSITIONS crystal
Se 0.010 0.234 0.020
Se 0.342 0.891 0.683
Se 0.658 0.109 0.317
Se 0.990 0.766 0.980
Se 0.676 0.560 0.352
Se 0.324 0.440 0.648
K 0.167 0.831 0.334
K 0.833 0.169 0.666
K 0.500 0.500 0.000
Y 0.831 0.661 0.662
Y 0.169 0.339 0.338
Th 0.500 0.000 0.000

18.
! HfTlCo2 | Alexandria | PBE | optimized geometry; values from VASP
! **Formation energy**: 0.50 eV/atom
! **Crystal system**: tetragonal
! **Volume**: 17.38 Å³/atom
! **Energy above the lowest structure with this stoichiometry**: 537 meV/atom
! **Calculated total energy**: -6.13 eV/atom
&SYSTEM
  ibrav = 0, nat = 8, ntyp = 3
/
ATOMIC_SPECIES
Tl 204.38 Tl.upf
Co 58.93 Co.upf
Hf 178.49 Hf.upf
CELL_PARAMETERS angstrom
-5.638 -2.408 -3.183
3.655 -5.329 -2.443
-1.668 -5.420 -0.441
ATOMIC_POSITIONS crystal
Tl 0.750 0.250 0.500
Tl 0.000 0.000 0.000
Co 0.144 0.625 0.250
Co 0.606 0.125 0.250
Co 0.875 0.856 0.750
Co 0.375 0.394 0.750
Hf 0.500 0.500 0.000
Hf 0.250 0.750 0.500

19.
! DyCdAgF6 | Alexandria | PBE | optimized geometry; values from VASP
! **Crystal system**: tetragonal
! **Volume**: 17.18 Å³/atom
! **Raw formation energy**: -24.8 eV per formula unit
! **Calculated total energy**: -4.94 eV/atom
&SYSTEM
  ibrav = 0, nat = 18, ntyp = 4
/
ATOMIC_SPECIES
Ag 107.87 Ag.upf
F 19.00 F.upf
Cd 112.41 Cd.upf
Dy 162.50 Dy.upf
CELL_PARAMETERS angstrom
5.341 0.000 0.000
0.000 5.341 0.000
0.000 0.000 10.838
ATOMIC_POSITIONS crystal
Ag 0.000 0.000 0.999
Ag 0.500 0.500 0.499
F 0.796 0.204 0.188
F 0.204 0.796 0.188
F 0.179 0.821 0.495
F 0.296 0.296 0.688
F 0.704 0.704 0.688
F 0.821 0.179 0.495
F 0.790 0.210 0.818
F 0.710 0.710 0.318
F 0.290 0.290 0.318
F 0.321 0.321 0.995
F 0.679 0.679 0.995
F 0.210 0.790 0.818
Cd 0.000 0.000 0.667
Cd 0.500 0.500 0.167
Dy 0.500 0.500 0.832
Dy 0.000 0.000 0.332

20.
! Ta2BeCd2 | Alexandria | PBE | optimized geometry; values from VASP
! **Formation energy**: 0.70 eV/atom
! **Crystal system**: tetragonal
! **Volume**: 17.77 Å³/atom
! **Energy above the lowest structure with this stoichiometry**: 0 meV/atom
! **Calculated total energy**: -5.16 eV/atom
&SYSTEM
  ibrav = 0, nat = 10, ntyp = 3
/
ATOMIC_SPECIES
Cd 112.41 Cd.upf
Ta 180.95 Ta.upf
Be 9.01 Be.upf
CELL_PARAMETERS angstrom
-2.755 5.099 2.116
-5.119 -3.245 1.156
1.565 -0.937 4.296
ATOMIC_POSITIONS crystal
Cd 0.346 0.846 0.000
Cd 0.654 0.154 0.000
Cd 0.846 0.654 0.000
Cd 0.154 0.346 0.000
Ta 0.662 0.838 0.500
Ta 0.162 0.662 0.500
Ta 0.338 0.162 0.500
Ta 0.838 0.338 0.500
Be 0.000 0.000 0.000
Be 0.500 0.500 0.000